{"formula": "BeCrOs", "functional": "GGA-PBE", "state": "optimized geometry", "e_tot_ev_per_atom": -8.3853, "e_form_mev_per_atom": -192, "relative_energy_mev_per_atom": 0, "lattice_angstrom": [[3.9338, 0.0037, 2.0366], [2.1093, 3.8572, 0.7330], [0.1931, 0.3328, 4.4405]], "species": ["Cr", "Cr", "Be", "Be", "Os", "Os"], "frac_coords": [[0.9032, 0.4776, 0.7759], [0.4032, 0.1596, 0.0939], [0.9911, 0.9808, 0.5971], [0.4910, 0.9809, 0.5971], [0.5835, 0.4768, 0.4166], [0.0835, 0.8003, 0.0931]]}


{"formula": "Be2CrOs", "functional": "GGA-PBE", "state": "optimized geometry", "e_tot_ev_per_atom": -6.8727, "e_form_mev_per_atom": 204, "relative_energy_mev_per_atom": 330, "lattice_angstrom": [[-2.0081, 0.6260, 1.4086], [0.6924, -2.3964, 0.4316], [4.5698, 2.3089, 5.4886]], "species": ["Be", "Be", "Os", "Cr"], "frac_coords": [[0.0000, 0.0000, 0.4967], [0.0000, 0.0000, 0.0033], [0.5000, 0.5000, 0.7500], [0.5000, 0.5000, 0.2500]]}


{"formula": "BeCrOs2", "functional": "GGA-PBE", "state": "optimized geometry", "e_tot_ev_per_atom": -8.5750, "e_form_mev_per_atom": 377, "lattice_angstrom": [[2.6172, -0.0028, 0.0000], [-1.1295, 2.3610, 0.0000], [0.0000, 0.0000, 8.3010]], "species": ["Os", "Os", "Cr", "Be"], "frac_coords": [[0.5000, 0.5000, 0.2754], [0.0000, 0.0000, 0.9857], [0.5000, 0.5000, 0.7338], [0.0000, 0.0000, 0.5051]]}


{"formula": "BeCrOs", "functional": "GGA-PBE", "state": "optimized geometry", "e_tot_ev_per_atom": -8.3517, "e_form_mev_per_atom": -159, "relative_energy_mev_per_atom": 34, "lattice_angstrom": [[-6.3460, -1.2603, 4.3974], [2.5271, -2.0776, 3.0515], [1.1551, 6.6543, 3.5740]], "species": ["Os", "Os", "Os", "Os", "Os", "Os", "Os", "Os", "Cr", "Cr", "Cr", "Cr", "Cr", "Cr", "Cr", "Cr", "Be", "Be", "Be", "Be", "Be", "Be", "Be", "Be"], "frac_coords": [[0.6610, 0.0000, 0.5000], [0.8390, 0.5000, 0.5000], [0.3390, 0.0000, 0.5000], [0.3390, 0.5000, 0.0000], [0.1610, 0.5000, 0.5000], [0.6610, 0.5000, 0.0000], [0.8390, 0.0000, 0.0000], [0.1610, 0.0000, 0.0000], [0.5000, 0.5000, 0.3452], [0.5000, 0.0000, 0.8452], [0.0000, 0.5000, 0.1548], [0.0000, 0.5000, 0.8452], [0.5000, 0.5000, 0.6548], [0.0000, 0.0000, 0.3452], [0.0000, 0.0000, 0.6548], [0.5000, 0.0000, 0.1548], [0.7500, 0.7500, 0.7500], [0.2500, 0.2500, 0.7500], [0.2500, 0.7500, 0.2500], [0.7500, 0.2500, 0.2500], [0.2500, 0.2500, 0.2500], [0.2500, 0.7500, 0.7500], [0.7500, 0.7500, 0.2500], [0.7500, 0.2500, 0.7500]]}


{"formula": "BeCrOs2", "functional": "GGA-PBE", "state": "optimized geometry", "e_tot_ev_per_atom": -8.8840, "e_form_mev_per_atom": 68, "lattice_angstrom": [[4.7527, -0.0389, -0.0064], [1.8821, 4.3643, 0.0064], [-2.7338, -3.0579, 2.4010]], "species": ["Cr", "Os", "Os", "Be"], "frac_coords": [[0.2500, 0.7500, 0.5000], [0.9782, 0.9782, 0.0000], [0.5218, 0.5218, 0.0000], [0.7500, 0.2500, 0.5000]]}


{"formula": "BeCrOs", "functional": "GGA-PBE", "state": "optimized geometry", "e_tot_ev_per_atom": -7.9564, "e_form_mev_per_atom": 237, "relative_energy_mev_per_atom": 429, "lattice_angstrom": [[6.2684, 0.0079, -0.0055], [5.5343, 2.4754, 0.0177], [0.7341, -0.8315, 2.3233]], "species": ["Os", "Be", "Cr"], "frac_coords": [[0.6626, 0.6626, 0.3374], [0.9977, 0.9977, 0.0023], [0.3397, 0.3397, 0.6603]]}


{"formula": "BeCrOs", "functional": "GGA-PBE", "state": "optimized geometry", "e_tot_ev_per_atom": -8.2190, "e_form_mev_per_atom": -26, "relative_energy_mev_per_atom": 166, "lattice_angstrom": [[-2.3440, 2.4183, -2.1320], [1.9659, -2.9648, -1.7982], [-3.9606, -3.1205, 0.8150]], "species": ["Be", "Be", "Cr", "Cr", "Os", "Os"], "frac_coords": [[0.6667, 0.3333, 0.4524], [0.3333, 0.6667, 0.5476], [0.6667, 0.3333, 0.9277], [0.3333, 0.6667, 0.0723], [0.0000, 0.0000, 0.7398], [0.0000, 0.0000, 0.2602]]}


{"formula": "Be4CrOs", "functional": "GGA-PBE", "state": "optimized geometry", "e_tot_ev_per_atom": -6.3099, "e_form_mev_per_atom": -350, "lattice_angstrom": [[-3.8282, 0.4109, 1.8527], [-3.5461, -0.9330, -2.1934], [-2.2756, -3.4765, 0.9961]], "species": ["Be", "Be", "Be", "Be", "Os", "Cr"], "frac_coords": [[0.6246, 0.1261, 0.6246], [0.6246, 0.6246, 0.1261], [0.1261, 0.6246, 0.6246], [0.6246, 0.6246, 0.6246], [0.0000, 0.0000, 0.0000], [0.2500, 0.2500, 0.2500]]}


Copy entry 3 word for word.
{"formula": "BeCrOs2", "functional": "GGA-PBE", "state": "optimized geometry", "e_tot_ev_per_atom": -8.5750, "e_form_mev_per_atom": 377, "lattice_angstrom": [[2.6172, -0.0028, 0.0000], [-1.1295, 2.3610, 0.0000], [0.0000, 0.0000, 8.3010]], "species": ["Os", "Os", "Cr", "Be"], "frac_coords": [[0.5000, 0.5000, 0.2754], [0.0000, 0.0000, 0.9857], [0.5000, 0.5000, 0.7338], [0.0000, 0.0000, 0.5051]]}